# PBE-GGA CrPOs3, relaxed
# Energy relative to the lowest polymorph listed for this composition (meV per atom): 0
# ΔE_f (eV per formula unit): 4.5
data_CrPOs3
_symmetry_space_group_name_H-M 'P m -3 m'
_symmetry_Int_Tables_number 221
_symmetry_space_group_name_Hall '-P 4 2 3'
_cell_length_a 4.334
_cell_length_b 4.334
_cell_length_c 4.334
_cell_angle_alpha 90.00
_cell_angle_beta 90.00
_cell_angle_gamma 90.00
loop_
_atom_site_label
_atom_site_type_symbol
_atom_site_fract_x
_atom_site_fract_y
_atom_site_fract_z
Cr1 Cr 0.000 0.000 0.000
P1 P 0.500 0.500 0.500
Os1 Os 0.000 0.500 0.500